Entry 1:
# AlPN

A relaxed structure of AlPN (PBE-GGA, the Alexandria database).

Cell: 3.045 3.045 10.134 Å, 90.00 90.00 120.00°
Fractional positions:
N 0.611 0.222 0.297
N 0.611 0.222 0.703
P 0.611 0.222 0.500
P 0.944 0.888 0.000
Al 0.945 0.889 0.758
Al 0.945 0.889 0.242

Values from the calculation:
D(E_F), states/eV per cell: 0.82
Total magnetization, μB per atom: 0.000
Final energy, eV/atom: -6.209
Energy relative to the elements, uncorrected, meV per atom: -383
SG: P-6m2, No. 187

=====

Entry 2:
# BeIN2

A relaxed structure of BeIN2 (PBE-GGA, the Alexandria database).

Cell: 5.475 3.280 3.152 Å, 90.01 106.68 76.28°
Fractional positions:
I 0.291 0.820 0.399
N 0.984 0.322 0.245
N 0.643 0.950 0.575
Be 0.818 0.383 0.662

Values from the calculation:
D(E_F), states/eV per cell: 0.78
Polymorph energy (0 for the lowest one), meV per atom: 847
Total magnetization, μB per atom: 0.000
Final energy, eV/atom: -4.688
Energy relative to the elements, uncorrected, meV per atom: 794
SG: Cm, No. 8

=====

Entry 3:
# SrLa2Tl

A relaxed structure of SrLa2Tl (PBE-GGA, the Alexandria database).

Cell: 12.129 12.129 12.129 Å, 18.64 18.64 18.64°
Fractional positions:
La 0.013 0.013 0.013
La 0.487 0.487 0.487
Sr 0.250 0.250 0.250
Tl 0.750 0.750 0.750

Values from the calculation:
Calculated formation energy, kJ per mole of atoms: -3.0
D(E_F), states/eV per cell: 6.08
Polymorph energy (0 for the lowest one), meV per atom: 146
Total magnetization, μB per atom: 0.199
Final energy, eV/atom: -3.507
SG: R-3m, No. 166

=====

Entry 4:
# YHoEr3

A relaxed structure of YHoEr3 (PBE-GGA, the Alexandria database).

Cell: 9.528 6.649 6.231 Å, 62.12 70.89 95.89°
Fractional positions:
Er 0.550 0.449 0.185
Er 0.950 0.450 0.983
Er 0.749 0.450 0.582
Er 0.050 0.950 0.017
Er 0.251 0.950 0.418
Er 0.450 0.951 0.815
Y 0.850 0.948 0.617
Y 0.150 0.452 0.383
Ho 0.350 0.450 0.785
Ho 0.650 0.950 0.216

Values from the calculation:
Calculated formation energy, kJ per mole of atoms: 0.1
D(E_F), states/eV per cell: 18.16
Polymorph energy (0 for the lowest one), meV per atom: 0
Total magnetization, μB per atom: 0.000
Final energy, eV/atom: -4.945
SG: P-1, No. 2

=====

Entry 5:
# Na2Sn2Au

A relaxed structure of Na2Sn2Au (PBE-GGA, the Alexandria database).

Cell: 4.097 4.097 8.130 Å, 75.41 75.41 90.00°
Fractional positions:
Sn 0.410 0.410 0.180
Sn 0.590 0.590 0.820
Au 0.000 0.000 0.000
Na 0.250 0.750 0.500
Na 0.750 0.250 0.500

Values from the calculation:
Calculated formation energy, kJ per mole of atoms: 9.6
D(E_F), states/eV per cell: 1.64
Total magnetization, μB per atom: 0.000
Final energy, eV/atom: -2.684
SG: I4/mmm, No. 139

=====

Entry 6:
# BaFe2Co

A relaxed structure of BaFe2Co (PBE-GGA, the Alexandria database).

Cell: 4.108 4.108 6.263 Å, 71.00 71.00 60.03°
Fractional positions:
Fe 0.560 0.560 0.319
Fe 0.940 0.940 0.181
Ba 0.750 0.750 0.750
Co 0.250 0.250 0.250

Values from the calculation:
Calculated formation energy, kJ per mole of atoms: 31.6
D(E_F), states/eV per cell: 3.96
Polymorph energy (0 for the lowest one), meV per atom: 0
Total magnetization, μB per atom: 1.565
Final energy, eV/atom: -6.161
SG: C2/m, No. 12